! HfScTc (GGA-PBE, optimized geometry); values from VASP
&SYSTEM
  ibrav = 0, nat = 12, ntyp = 3
/
ATOMIC_SPECIES
Sc 44.96 Sc.upf
Hf 178.49 Hf.upf
Tc 98.00 Tc.upf
CELL_PARAMETERS angstrom
4.6766 0.0000 0.0000
0.0000 10.7875 0.0000
0.0000 0.0000 4.6886
ATOMIC_POSITIONS angstrom
Sc 2.3383 6.5390 1.1721
Sc 2.3383 4.2485 3.5164
Sc 0.0000 9.6422 3.5164
Sc 0.0000 1.1453 1.1721
Hf 0.0000 6.6146 3.5164
Hf 2.3383 9.5667 1.1721
Hf 0.0000 4.1729 1.1721
Hf 2.3383 1.2208 3.5164
Tc 2.3383 2.6985 1.1721
Tc 0.0000 2.6952 3.5164
Tc 0.0000 8.0923 1.1721
Tc 2.3383 8.0890 3.5164
! Density = 9.0 g/cm³
! E_tot = -109.8 eV for the cell shown
! Formation enthalpy at 0 K = -0.266 eV per atom
! Space-group type = No. 63
! Energy relative to the lowest polymorph listed for this composition = 0.123 kcal/mol of atoms